The following is a DFT calculation (PBE) of a relaxed Fe6CuNi10 crystal.

Lattice parameters (Å, degrees): 6.883 6.883 4.876 90.00 90.00 120.00
Positions (direct):
Fe 0.000 0.351 0.183
Fe 0.000 0.649 0.817
Fe 0.351 0.000 0.183
Fe 0.351 0.351 0.817
Fe 0.649 0.000 0.817
Fe 0.649 0.649 0.183
Cu 0.000 0.000 0.000
Ni 0.000 0.304 0.672
Ni 0.000 0.696 0.328
Ni 0.304 0.000 0.672
Ni 0.304 0.304 0.328
Ni 0.333 0.667 0.000
Ni 0.333 0.667 0.500
Ni 0.667 0.333 0.000
Ni 0.667 0.333 0.500
Ni 0.696 0.000 0.328
Ni 0.696 0.696 0.672

Summary:
total energy	-6.534	eV per atom
spin magnetization	1.401	μB per atom
calculated formation energy	1.601	eV per formula unit